1.
Computed, not measured: a relaxed structure of LaUI3N at the GGA-PBE level of DFT.

a = 20.1831 Å, b = 4.1362 Å, c = 12.6630 Å
α = 90.00°, β = 125.21°, γ = 90.00°
With the nearest neighbours (Å) after each atom.
Space group C2/m (No. 12)
Symmetry-distinct sites (fractional):
La (0.1298, 0.0000, 0.2732) (multiplicity 4)  2 N 2.53
U (0.0672, 0.5000, 0.9640) (multiplicity 4)  2 N 2.19-2.21
I (0.0393, 0.0000, 0.7476) (multiplicity 4)  2 U 3.21, 1 La 3.27
I (0.1660, 0.5000, 0.5071) (multiplicity 4)  3 La 3.33-3.39
I (0.2162, 0.0000, 0.1202) (multiplicity 4)  2 U 3.22, 1 La 3.27
N (0.0646, 0.5000, 0.1358) (multiplicity 4)  2 U 2.19-2.21

Calculated values
**Electronic total energy**: -6.1620 eV per atom
**Total moment**: 0.405 μB per atom



2.
Computed, not measured: a relaxed structure of LaNdI6 at the GGA-PBE level of DFT.

a = 10.0964 Å, b = 4.3874 Å, c = 15.1944 Å
α = 90.00°, β = 90.00°, γ = 90.00°
With the nearest neighbours (Å) after each atom.
Space group Amm2 (No. 38)
Symmetry-distinct sites (fractional):
La (0.0000, 0.0000, 0.0000) (multiplicity 2)  8 I 3.19-3.48
Nd (0.5000, 0.0000, 0.5177) (multiplicity 2)  8 I 3.16-3.46
I (0.0000, 0.0000, 0.3476) (multiplicity 2)  2 La 3.19
I (0.1849, 0.0000, 0.6066) (multiplicity 4)  2 La 3.30, 1 Nd 3.46
I (0.3183, 0.0000, 0.9123) (multiplicity 4)  2 Nd 3.28, 1 La 3.48, 1 I 3.67
I (0.5000, 0.0000, 0.1670) (multiplicity 2)  2 Nd 3.16

Calculated values
**Electronic total energy**: -3.8433 eV per atom
**Total moment**: 0.001 μB per atom



3.
Computed, not measured: a relaxed structure of LaNdIO at the GGA-PBE level of DFT.

a = 3.8126 Å, b = 3.8126 Å, c = 15.2247 Å
α = 90.00°, β = 90.00°, γ = 120.00°
With the nearest neighbours (Å) after each atom.
Space group P-3m1 (No. 164)
Symmetry-distinct sites (fractional):
La (0.3333, 0.6667, 0.0895) (multiplicity 2)  3 O 2.59
Nd (0.3333, 0.6667, 0.4154) (multiplicity 2)  3 O 2.55
I (0.3333, 0.6667, 0.7449) (multiplicity 2)  3 Nd 3.29, 3 La 3.35
O (0.0000, 0.0000, 0.0000) (multiplicity 1)  6 La 2.59
O (0.0000, 0.0000, 0.5000) (multiplicity 1)  6 Nd 2.55

Calculated values
**Electronic total energy**: -5.8527 eV per atom
**Total moment**: 0.004 μB per atom



4.
Computed, not measured: a relaxed structure of La3NdI2O2 at the GGA-PBE level of DFT.

a = 3.8243 Å, b = 3.8243 Å, c = 15.3231 Å
α = 90.00°, β = 90.00°, γ = 120.00°
With the nearest neighbours (Å) after each atom.
Space group P3m1 (No. 156)
Symmetry-distinct sites (fractional):
La (0.0000, 0.0000, 0.0000) (multiplicity 1)  3 O 2.59
La (0.0000, 0.0000, 0.3274) (multiplicity 1)  3 O 2.59
La (0.3333, 0.6667, 0.5046) (multiplicity 1)  3 O 2.59
Nd (0.3333, 0.6667, 0.8276) (multiplicity 1)  3 O 2.56
I (0.0000, 0.0000, 0.6689) (multiplicity 1)  3 Nd 3.28, 3 La 3.35
I (0.3333, 0.6667, 0.1641) (multiplicity 1)  6 La 3.34-3.35
O (0.6667, 0.3333, 0.4158) (multiplicity 1)  6 La 2.59
O (0.6667, 0.3333, 0.9121) (multiplicity 1)  3 Nd 2.56, 3 La 2.59

Calculated values
**Electronic total energy**: -5.9098 eV per atom
**Total moment**: 0.007 μB per atom



total moment of number 4 (La3NdI2O2)? 0.007 μB per atom



electronic total energy of number 2 (LaNdI6)? -3.8433 eV per atom



Repeat the first record exactly.
Computed, not measured: a relaxed structure of LaUI3N at the GGA-PBE level of DFT.

a = 20.1831 Å, b = 4.1362 Å, c = 12.6630 Å
α = 90.00°, β = 125.21°, γ = 90.00°
With the nearest neighbours (Å) after each atom.
Space group C2/m (No. 12)
Symmetry-distinct sites (fractional):
La (0.1298, 0.0000, 0.2732) (multiplicity 4)  2 N 2.53
U (0.0672, 0.5000, 0.9640) (multiplicity 4)  2 N 2.19-2.21
I (0.0393, 0.0000, 0.7476) (multiplicity 4)  2 U 3.21, 1 La 3.27
I (0.1660, 0.5000, 0.5071) (multiplicity 4)  3 La 3.33-3.39
I (0.2162, 0.0000, 0.1202) (multiplicity 4)  2 U 3.22, 1 La 3.27
N (0.0646, 0.5000, 0.1358) (multiplicity 4)  2 U 2.19-2.21

Calculated values
**Electronic total energy**: -6.1620 eV per atom
**Total moment**: 0.405 μB per atom